Record 1
GGA-PBEsol Ca2FeOs, optimized geometry; DFT formation energy = 0.422 eV per atom; size of the total moment = 0.01 μB per formula unit; symmetry = Imm2, No. 44
1.0
-1.333 0.376 -3.640
-4.403 -1.670 1.440
1.628 4.665 1.969
Fe Os Ca
1 1 2
direct
0.562 0.562 0.125
0.186 0.686 0.372
0.773 0.273 0.545
0.979 0.979 0.958

***

Record 2
GGA-PBEsol CaFeOs2, optimized geometry; DFT formation energy = 0.436 eV per atom; size of the total moment = 1.27 μB per formula unit; symmetry = P4/mmm, No. 123
1.0
-1.008 -1.543 -2.000
1.717 -1.997 0.676
-5.544 -3.030 5.131
Fe Os Ca
1 2 1
direct
0.500 0.500 0.500
0.000 0.000 0.298
0.000 0.000 0.702
0.500 0.500 0.000

***

Record 3
GGA-PBEsol CaFeOs2, optimized geometry; DFT formation energy = 0.511 eV per atom; size of the total moment = 2.60 μB per formula unit; symmetry = Pmm2, No. 25
1.0
2.781 0.000 0.000
0.000 3.620 0.000
0.000 0.000 6.649
Fe Os Ca
1 2 1
direct
0.500 0.500 0.812
0.500 0.500 0.184
0.000 0.000 0.001
0.000 0.000 0.503

***

Record 4
GGA-PBEsol CaFeOs2, optimized geometry; DFT formation energy = 0.865 eV per atom; size of the total moment = 2.11 μB per formula unit; symmetry = I4/mmm, No. 139
1.0
3.856 0.000 0.000
0.000 3.856 0.000
-1.928 -1.928 4.114
Ca Os Fe
1 2 1
direct
0.500 0.500 0.000
0.750 0.250 0.500
0.250 0.750 0.500
0.000 0.000 0.000

***

Q: Number 1 is which compound?
A: Ca2FeOs

***

Q: What is the formula in the second record?
A: CaFeOs2

***

Please write out number 2 again, unchanged.
GGA-PBEsol CaFeOs2, optimized geometry; DFT formation energy = 0.436 eV per atom; size of the total moment = 1.27 μB per formula unit; symmetry = P4/mmm, No. 123
1.0
-1.008 -1.543 -2.000
1.717 -1.997 0.676
-5.544 -3.030 5.131
Fe Os Ca
1 2 1
direct
0.500 0.500 0.500
0.000 0.000 0.298
0.000 0.000 0.702
0.500 0.500 0.000